CsV2AsO8: optimized geometry, PBE with a Hubbard U.

Results
The density of states at the Fermi level comes out at 0.0 states/eV per cell. Its crystal system is trigonal. For the density, the calculation gives 3.5 g cm⁻³. The total DFT energy (no corrections) is -6.7031 eV per atom.

Cell: 5.2442 5.2442 8.6734 Å, 90.00 90.00 120.00°
With the nearest neighbours (Å) after each atom.
Sites, in units of the cell vectors:
O1 0.9437 0.6919 0.3742  1 V 1.78, 1 As 1.85
O2 0.3333 0.6667 0.8744  1 V 1.65
O3 0.2518 0.9437 0.6258  1 V 1.78, 1 As 1.85
O4 0.7482 0.0563 0.3742  1 V 1.78, 1 As 1.85
O5 0.3081 0.2518 0.3742  1 V 1.78, 1 As 1.85
O6 0.6919 0.7482 0.6258  1 V 1.78, 1 As 1.85
O7 0.0563 0.3081 0.6258  1 V 1.78, 1 As 1.85
O8 0.6667 0.3333 0.1256  1 V 1.65
V1 0.6667 0.3333 0.3162  4 O 1.65-1.78
V2 0.3333 0.6667 0.6838  4 O 1.65-1.78
Cs1 0.0000 0.0000 0.0000  12 O 3.22-3.57
As1 0.0000 0.0000 0.5000  6 O 1.85